1.
Compound: KAlCl2
Source: Alexandria
Functional: SCAN
Structure: single point on PBEsol structure

## Properties
energy above the lowest structure with this stoichiometry	71.5	meV/atom
space group	Pmmm, No. 47
electronic total energy	-9.20	eV/atom
E_form (uncorrected)	-4.753	eV per formula unit
V	23.61	A^3/atom

Unit cell a=3.3101 b=3.8728 c=7.3680 alpha=90.00 beta=90.00 gamma=90.00
With the nearest neighbours (Å) after each atom.
Fractional coordinates of all 4 atoms:
K1 0.0000 0.0000 0.0000  8 Cl 3.13, 2 K 3.31
Al1 0.5000 0.0000 0.5000  4 Cl 2.69
Cl1 0.5000 0.5000 0.2467  2 Al 2.69
Cl2 0.5000 0.5000 0.7533  2 Al 2.69


2.
Compound: KAl3Cl
Source: Alexandria
Functional: SCAN
Structure: single point on PBEsol structure

## Properties
space group	Pm-3m, No. 221
electronic total energy	-7.41	eV/atom
E_form (uncorrected)	2.528	eV per formula unit
V	29.92	A^3/atom

Unit cell a=5.3084 b=5.3084 c=5.3084 alpha=90.00 beta=90.00 gamma=90.00
With the nearest neighbours (Å) after each atom.
Fractional coordinates of all 5 atoms:
K1 0.0000 0.0000 0.0000  12 Al 3.75
Al1 0.0000 0.5000 0.5000  2 Cl 2.65
Al2 0.5000 0.0000 0.5000  2 Cl 2.65
Al3 0.5000 0.5000 0.0000  2 Cl 2.65
Cl1 0.5000 0.5000 0.5000  6 Al 2.65